[1]
A relaxed WSe2Cl crystal. Source: Alexandria, functional GGA-PBE.

* energy relative to the elements, uncorrected: 0.15 eV per atom
* SG: I-42d (122)
* Fermi-level density of states: 3.8 states/eV per cell

Structure (CIF):
```
data_WSe2Cl
_chemical_formula_sum 'W2 Se4 Cl2'
_symmetry_space_group_name_H-M 'P 1'
_symmetry_Int_Tables_number 1
_symmetry_space_group_name_Hall 'P 1'
_cell_length_a 6.7875
_cell_length_b 6.7875
_cell_length_c 6.9049
_cell_angle_alpha 60.56
_cell_angle_beta 60.56
_cell_angle_gamma 90.00
loop_
_atom_site_label
_atom_site_type_symbol
_atom_site_fract_x
_atom_site_fract_y
_atom_site_fract_z
Se1 Se 0.7101 0.1250 0.2500
Se2 Se 0.0399 0.6250 0.2500
Se3 Se 0.3750 0.2899 0.7500
Se4 Se 0.8750 0.9601 0.7500
W1 W 0.0000 0.0000 0.0000
W2 W 0.7500 0.2500 0.5000
Cl1 Cl 0.5000 0.5000 0.0000
Cl2 Cl 0.2500 0.7500 0.5000
```



[2]
A relaxed BeFeMo crystal. Source: Alexandria, functional GGA-PBE.

* SG: F-43m (216)
* Fermi-level density of states: 3.9 states/eV per cell
* DFT formation energy: 0.396 eV/atom

Structure (CIF):
```
data_BeFeMo
_chemical_formula_sum 'Be1 Fe1 Mo1'
_symmetry_space_group_name_H-M 'P 1'
_symmetry_Int_Tables_number 1
_symmetry_space_group_name_Hall 'P 1'
_cell_length_a 3.8390
_cell_length_b 3.8390
_cell_length_c 3.8390
_cell_angle_alpha 60.00
_cell_angle_beta 60.00
_cell_angle_gamma 60.00
loop_
_atom_site_label
_atom_site_type_symbol
_atom_site_fract_x
_atom_site_fract_y
_atom_site_fract_z
Be1 Be 0.5000 0.5000 0.5000
Mo1 Mo 0.0000 0.0000 0.0000
Fe1 Fe 0.7500 0.7500 0.7500
```



[3]
A relaxed AlSe3Cl crystal. Source: Alexandria, functional GGA-PBE.

* energy relative to the elements, uncorrected: 0.80 eV per atom
* SG: Pm-3m (221)
* Fermi-level density of states: 4.0 states/eV per cell

Structure (CIF):
```
data_AlSe3Cl
_chemical_formula_sum 'Al1 Se3 Cl1'
_symmetry_space_group_name_H-M 'P 1'
_symmetry_Int_Tables_number 1
_symmetry_space_group_name_Hall 'P 1'
_cell_length_a 5.0176
_cell_length_b 5.0176
_cell_length_c 5.0176
_cell_angle_alpha 90.00
_cell_angle_beta 90.00
_cell_angle_gamma 90.00
loop_
_atom_site_label
_atom_site_type_symbol
_atom_site_fract_x
_atom_site_fract_y
_atom_site_fract_z
Al1 Al 0.5000 0.5000 0.5000
Se1 Se 0.0000 0.5000 0.0000
Se2 Se 0.0000 0.0000 0.5000
Se3 Se 0.5000 0.0000 0.0000
Cl1 Cl 0.0000 0.0000 0.0000
```



[4]
A relaxed Dy6YHo3Sc2 crystal. Source: Alexandria, functional GGA-PBE.

* SG: C2/m (12)
* Fermi-level density of states: 17.3 states/eV per cell
* DFT formation energy: 0.036 eV/atom

Structure (CIF):
```
data_Dy6YHo3Sc2
_chemical_formula_sum 'Dy6 Y1 Ho3 Sc2'
_symmetry_space_group_name_H-M 'P 1'
_symmetry_Int_Tables_number 1
_symmetry_space_group_name_Hall 'P 1'
_cell_length_a 6.0575
_cell_length_b 6.0575
_cell_length_c 11.5485
_cell_angle_alpha 95.01
_cell_angle_beta 95.01
_cell_angle_gamma 119.95
loop_
_atom_site_label
_atom_site_type_symbol
_atom_site_fract_x
_atom_site_fract_y
_atom_site_fract_z
Dy1 Dy 0.9176 0.5811 0.7545
Dy2 Dy 0.7456 0.7456 0.2454
Dy3 Dy 0.0824 0.4189 0.2455
Dy4 Dy 0.5811 0.9176 0.7545
Dy5 Dy 0.2544 0.2544 0.7546
Dy6 Dy 0.4189 0.0824 0.2455
Y1 Y 0.0000 0.0000 0.0000
Ho1 Ho 0.1668 0.8332 0.5000
Ho2 Ho 0.8332 0.1668 0.5000
Ho3 Ho 0.5000 0.5000 0.5000
Sc1 Sc 0.3333 0.6667 0.0000
Sc2 Sc 0.6667 0.3333 0.0000
```



[5]
A relaxed RbCeMnSe4 crystal. Source: Alexandria, functional GGA-PBE.

* energy relative to the elements, uncorrected: -0.94 eV per atom
* SG: Cmcm (63)
* Fermi-level density of states: 10.8 states/eV per cell

Structure (CIF):
```
data_RbCeMnSe4
_chemical_formula_sum 'Rb2 Ce2 Mn2 Se8'
_symmetry_space_group_name_H-M 'P 1'
_symmetry_Int_Tables_number 1
_symmetry_space_group_name_Hall 'P 1'
_cell_length_a 6.6808
_cell_length_b 6.9611
_cell_length_c 8.8054
_cell_angle_alpha 90.00
_cell_angle_beta 112.29
_cell_angle_gamma 90.00
loop_
_atom_site_label
_atom_site_type_symbol
_atom_site_fract_x
_atom_site_fract_y
_atom_site_fract_z
Rb1 Rb 0.6021 0.7500 0.2042
Rb2 Rb 0.3979 0.2500 0.7958
Ce1 Ce 0.1214 0.2500 0.2427
Ce2 Ce 0.8786 0.7500 0.7573
Mn1 Mn 0.2670 0.7500 0.5340
Mn2 Mn 0.7330 0.2500 0.4660
Se1 Se 0.9502 0.2500 0.9004
Se2 Se 0.4097 0.7500 0.8194
Se3 Se 0.0498 0.7500 0.0996
Se4 Se 0.5903 0.2500 0.1806
Se5 Se 0.5000 0.5000 0.5000
Se6 Se 0.0000 0.0000 0.5000
Se7 Se 0.5000 0.0000 0.5000
Se8 Se 0.0000 0.5000 0.5000
```



[6]
A relaxed Pr3Tl3In crystal. Source: Alexandria, functional GGA-PBE.

* SG: C2/m (12)
* Fermi-level density of states: 14.1 states/eV per cell
* DFT formation energy: -0.367 eV/atom

Structure (CIF):
```
data_Pr3Tl3In
_chemical_formula_sum 'Pr6 Tl6 In2'
_symmetry_space_group_name_H-M 'P 1'
_symmetry_Int_Tables_number 1
_symmetry_space_group_name_Hall 'P 1'
_cell_length_a 4.7886
_cell_length_b 6.4776
_cell_length_c 15.1648
_cell_angle_alpha 82.52
_cell_angle_beta 80.92
_cell_angle_gamma 68.31
loop_
_atom_site_label
_atom_site_type_symbol
_atom_site_fract_x
_atom_site_fract_y
_atom_site_fract_z
Pr1 Pr 0.5197 0.3393 0.6214
Pr2 Pr 0.4803 0.6607 0.3786
Pr3 Pr 0.2703 0.2385 0.2210
Pr4 Pr 0.7297 0.7615 0.7790
Pr5 Pr 0.3954 0.2843 0.9250
Pr6 Pr 0.6046 0.7157 0.0750
Tl1 Tl 0.8590 0.7452 0.5367
Tl2 Tl 0.1410 0.2548 0.4633
Tl3 Tl 0.1187 0.8378 0.9249
Tl4 Tl 0.8813 0.1622 0.0751
Tl5 Tl 0.0003 0.7738 0.2255
Tl6 Tl 0.9997 0.2262 0.7745
In1 In 0.7683 0.0928 0.3705
In2 In 0.2317 0.9072 0.6295
```



Question: Which of these has the highest Fermi-level density of states?
Answer: Dy6YHo3Sc2



Please write out number 2 again, unchanged.
A relaxed BeFeMo crystal. Source: Alexandria, functional GGA-PBE.

* SG: F-43m (216)
* Fermi-level density of states: 3.9 states/eV per cell
* DFT formation energy: 0.396 eV/atom

Structure (CIF):
```
data_BeFeMo
_chemical_formula_sum 'Be1 Fe1 Mo1'
_symmetry_space_group_name_H-M 'P 1'
_symmetry_Int_Tables_number 1
_symmetry_space_group_name_Hall 'P 1'
_cell_length_a 3.8390
_cell_length_b 3.8390
_cell_length_c 3.8390
_cell_angle_alpha 60.00
_cell_angle_beta 60.00
_cell_angle_gamma 60.00
loop_
_atom_site_label
_atom_site_type_symbol
_atom_site_fract_x
_atom_site_fract_y
_atom_site_fract_z
Be1 Be 0.5000 0.5000 0.5000
Mo1 Mo 0.0000 0.0000 0.0000
Fe1 Fe 0.7500 0.7500 0.7500
```



Please write out number 2 again, unchanged.
A relaxed BeFeMo crystal. Source: Alexandria, functional GGA-PBE.

* SG: F-43m (216)
* Fermi-level density of states: 3.9 states/eV per cell
* DFT formation energy: 0.396 eV/atom

Structure (CIF):
```
data_BeFeMo
_chemical_formula_sum 'Be1 Fe1 Mo1'
_symmetry_space_group_name_H-M 'P 1'
_symmetry_Int_Tables_number 1
_symmetry_space_group_name_Hall 'P 1'
_cell_length_a 3.8390
_cell_length_b 3.8390
_cell_length_c 3.8390
_cell_angle_alpha 60.00
_cell_angle_beta 60.00
_cell_angle_gamma 60.00
loop_
_atom_site_label
_atom_site_type_symbol
_atom_site_fract_x
_atom_site_fract_y
_atom_site_fract_z
Be1 Be 0.5000 0.5000 0.5000
Mo1 Mo 0.0000 0.0000 0.0000
Fe1 Fe 0.7500 0.7500 0.7500
```